First-principles (GGA+U) data for crystalline SrNiO3 at its relaxed geometry, as listed in the Alexandria database.

Cell lengths 18.323, 4.987, 6.681 Å; angles 90.00, 150.35, 90.00 degrees
Fractional positions:
O  0.136  0.459  0.360
O  0.455  0.231  0.042
O  0.099  0.934  0.113
O  0.864  0.541  0.640
O  0.599  0.566  0.613
O  0.045  0.731  0.458
O  0.364  0.959  0.140
O  0.545  0.769  0.958
O  0.636  0.041  0.860
O  0.901  0.066  0.887
O  0.401  0.434  0.387
O  0.955  0.269  0.542
Sr  0.139  0.240  0.708
Sr  0.361  0.740  0.792
Sr  0.639  0.260  0.208
Sr  0.861  0.760  0.292
Ni  0.489  0.250  0.387
Ni  0.989  0.250  0.887
Ni  0.011  0.750  0.113
Ni  0.511  0.750  0.613

SG: No. 14
Calculated density in g/cm³: 4.274
Final energy in eV/f.u.: -26.02
DOS(E_F) in states/eV/atom: 0.00